Record 1
Material: TaSiSb
Method: DFT, GGA-PBE
State: optimized geometry

a b c (Å): 6.467 6.467 6.467
angles (deg): 90.00 90.00 90.00
Space group F-43m (No. 216)
Inequivalent atoms, fractional coordinates:
1 Ta 0.000 0.000 0.000 (multiplicity 4)
2 Si 0.250 0.250 0.250 (multiplicity 4)
3 Sb 0.250 0.250 0.750 (multiplicity 4)

Values from the calculation:
formation energy from raw total energies	0.54	eV/atom

Record 2
Material: DyErH2
Method: DFT, GGA-PBE
State: optimized geometry

a b c (Å): 3.4721 3.4721 17.4127
angles (deg): 90.00 90.00 120.00
Space group R3m (No. 160, hexagonal axes)
Inequivalent atoms, fractional coordinates:
1 Dy 0.0000 0.0000 0.0000 (multiplicity 3)
2 Er 0.0000 0.0000 0.8197 (multiplicity 3)
3 H 0.0000 0.0000 0.4092 (multiplicity 3)
4 H 0.0000 0.0000 0.5837 (multiplicity 3)

Values from the calculation:
offset from the most stable computed form	22.5	kJ per mole of atoms

Record 3
Material: UCo3H6
Method: DFT, GGA-PBE
State: optimized geometry

a b c (Å): 4.5931 4.5931 12.5436
angles (deg): 90.00 90.00 120.00
Space group R3 (No. 146, hexagonal axes)
Inequivalent atoms, fractional coordinates:
1 U 0.0000 0.0000 0.0000 (multiplicity 3)
2 Co 0.0000 0.0000 0.2090 (multiplicity 3)
3 Co 0.0000 0.0000 0.5647 (multiplicity 3)
4 Co 0.0000 0.0000 0.8151 (multiplicity 3)
5 H 0.0097 0.5113 0.9700 (multiplicity 9)
6 H 0.0406 0.3616 0.1451 (multiplicity 9)

Values from the calculation:
raw total energy	-5.365	eV per atom

Record 4
Material: Sr3SiSn
Method: DFT, GGA-PBE
State: optimized geometry

a b c (Å): 5.947 5.947 5.947
angles (deg): 90.00 90.00 90.00
Space group Pm-3m (No. 221)
Inequivalent atoms, fractional coordinates:
1 Sr 0.000 0.000 0.500 (multiplicity 3)
2 Si 0.000 0.000 0.000 (multiplicity 1)
3 Sn 0.500 0.500 0.500 (multiplicity 1)

Values from the calculation:
offset from the most stable computed form	0.0	kJ per mole of atoms
formation energy from raw total energies	-0.16	eV/atom

Record 5
Material: Li2SmCuPd4
Method: DFT, GGA-PBE
State: optimized geometry

a b c (Å): 4.3247 4.3247 24.2128
angles (deg): 90.00 90.00 120.00
Space group R-3m (No. 166, hexagonal axes)
Inequivalent atoms, fractional coordinates:
1 Li 0.0000 0.0000 0.2344 (multiplicity 6)
2 Sm 0.0000 0.0000 0.0000 (multiplicity 3)
3 Cu 0.0000 0.0000 0.5000 (multiplicity 3)
4 Pd 0.0000 0.0000 0.1270 (multiplicity 6)
5 Pd 0.0000 0.0000 0.3950 (multiplicity 6)

Values from the calculation:
raw total energy	-4.662	eV per atom

Record 6
Material: ScTc3Ge
Method: DFT, GGA-PBE
State: optimized geometry

a b c (Å): 4.628 4.628 4.628
angles (deg): 90.00 90.00 90.00
Space group Pm-3m (No. 221)
Inequivalent atoms, fractional coordinates:
1 Sc 0.000 0.000 0.000 (multiplicity 1)
2 Tc 0.000 0.000 0.500 (multiplicity 3)
3 Ge 0.500 0.500 0.500 (multiplicity 1)

Values from the calculation:
offset from the most stable computed form	97.6	kJ per mole of atoms

Record 7
Material: ErMg4Ga2
Method: DFT, GGA-PBE
State: optimized geometry

a b c (Å): 4.323 16.431 4.274
angles (deg): 90.00 90.00 90.00
Space group Cmmm (No. 65)
Inequivalent atoms, fractional coordinates:
1 Er 0.000 0.000 0.000 (multiplicity 2)
2 Mg 0.000 0.176 0.500 (multiplicity 4)
3 Mg 0.000 0.322 0.000 (multiplicity 4)
4 Ga 0.000 0.426 0.500 (multiplicity 4)

Values from the calculation:
raw total energy	-2.654	eV per atom

Record 8
Material: Sc2BeGe2
Method: DFT, GGA-PBE
State: optimized geometry

a b c (Å): 6.458 6.458 4.128
angles (deg): 90.00 90.00 90.00
Space group P4/mbm (No. 127)
Inequivalent atoms, fractional coordinates:
1 Sc 0.173 0.327 0.000 (multiplicity 4)
2 Be 0.000 0.000 0.500 (multiplicity 2)
3 Ge 0.137 0.637 0.500 (multiplicity 4)

Values from the calculation:
raw total energy	-5.687	eV per atom